*i*
Crystalline PmHoRh at its relaxed geometry, computed with GGA-PBE.

```
PmHoRh
1.0
5.9906 0.0000 0.0000
0.0000 6.6805 -1.9211
0.0000 1.8055 7.8730
Pm Ho Rh
4 4 4
Direct
0.3651 0.1963 0.8832
0.6349 0.8037 0.1168
0.8651 0.3037 0.6168
0.1349 0.6963 0.3832
0.8805 0.2961 0.1301
0.6195 0.7961 0.6301
0.1195 0.7039 0.8699
0.3805 0.2039 0.3699
0.3328 0.4700 0.6360
0.6672 0.5300 0.3640
0.1672 0.9700 0.1360
0.8328 0.0300 0.8640
```

Values from the calculation:
M_tot: 0.00 μB/cell


*ii*
Crystalline PmHoRh at its relaxed geometry, computed with GGA-PBE.

```
PmHoRh
1.0
6.2402 0.0000 0.0000
0.0000 4.0546 0.0000
0.0000 -2.0273 3.5114
Rh Ho Pm
1 1 1
Direct
0.9931 0.0000 0.0000
0.7643 0.6667 0.3333
0.2426 0.3333 0.6667
```

Values from the calculation:
M_tot: 0.00 μB/cell


Most favorable first, least favorable last: *i*, *ii*


*i*
Crystalline Pm3HoRh at its relaxed geometry, computed with GGA-PBE.

```
Pm3HoRh
1.0
-4.8072 5.7022 -0.3419
0.0287 -3.2773 -6.7082
-1.3110 -5.8622 4.4338
Pm Ho Rh
6 2 2
Direct
0.0323 0.2410 0.7100
0.0323 0.8223 0.2914
0.5310 0.7410 0.7086
0.0197 0.2807 0.2390
0.5310 0.3223 0.2900
0.0417 0.7807 0.7610
0.5085 0.7826 0.2259
0.5567 0.2826 0.7741
0.5294 0.0316 0.9977
0.0339 0.5316 0.0023
```

Values from the calculation:
M_tot: 0.00 μB/cell


*ii*
Crystalline Pm3HoRh at its relaxed geometry, computed with GGA-PBE.

```
Pm3HoRh
1.0
-2.5719 -1.8749 -4.5252
-0.2134 -5.0633 2.2191
-4.8936 1.2062 2.2815
Rh Ho Pm
1 1 3
Direct
0.0000 0.0000 0.0000
0.5000 0.5000 0.5000
0.0000 0.5000 0.0000
0.0000 0.0000 0.5000
0.5000 0.0000 0.0000
```

Values from the calculation:
M_tot: 0.26 μB/cell


Most favorable first, least favorable last: *i*, *ii*